Record 1
TePb2W: optimized geometry, GGA-PBE.

Properties
- Uncorrected formation energy: 626 meV per atom
- E_tot: -5.25 eV per atom
- Crystal system: orthorhombic

Cell lengths 3.2850, 3.2850, 10.9011 Å; angles 90.00, 90.00, 115.75 degrees
Closest atoms and distances in Å follow each position.
Fractional positions:
Te: 0.0000 0.0000 0.0000  2 W 2.68
Pb: 0.0000 0.0000 0.4061  2 W 2.97, 4 Pb 3.29
Pb: 0.5000 0.5000 0.6862  8 Pb 3.29-3.52
W: 0.5000 0.5000 0.1859  2 Te 2.68, 2 Pb 2.97

Record 2
Te2PbW: optimized geometry, GGA-PBE.

Properties
- Uncorrected formation energy: 148 meV per atom
- E_tot: -5.59 eV per atom
- Crystal system: monoclinic

Cell lengths 3.5057, 3.5057, 9.9940 Å; angles 100.28, 100.28, 60.00 degrees
Closest atoms and distances in Å follow each position.
Fractional positions:
Te: 0.2319 0.2319 0.1922  3 W 2.76
Te: 0.7681 0.7681 0.8078  3 W 2.76
Pb: 0.0000 0.0000 0.5000  6 Pb 3.51, 6 Te 3.62-3.64
W: 0.5000 0.5000 0.0000  6 Te 2.76

Record 3
TePbW3: optimized geometry, GGA-PBE.

Properties
- Uncorrected formation energy: 2374 meV per atom
- E above lowest polymorph: 0 meV per atom
- E_tot: -6.77 eV per atom
- Crystal system: cubic

Cell lengths 4.9530, 4.9530, 4.9530 Å; angles 90.00, 90.00, 90.00 degrees
Closest atoms and distances in Å follow each position.
Fractional positions:
Te: 0.0000 0.0000 0.0000  6 W 2.48
Pb: 0.5000 0.5000 0.5000  12 W 3.50
W: 0.0000 0.0000 0.5000  2 Te 2.48
W: 0.0000 0.5000 0.0000  2 Te 2.48
W: 0.5000 0.0000 0.0000  2 Te 2.48

Record 4
TePb2W: optimized geometry, GGA-PBE.

Properties
- Uncorrected formation energy: 646 meV per atom
- E_tot: -5.23 eV per atom
- Crystal system: orthorhombic

Cell lengths 7.6338, 7.6338, 7.6338 Å; angles 155.22, 144.61, 43.68 degrees
Closest atoms and distances in Å follow each position.
Fractional positions:
Te: 0.0000 0.0000 0.0000  4 W 2.84
Pb: 0.3162 0.8162 0.5000  2 W 3.08, 6 Pb 3.28-3.40
Pb: 0.6838 0.1838 0.5000  2 W 3.08, 6 Pb 3.28-3.40
W: 0.5000 0.5000 0.0000  4 Te 2.84, 4 Pb 3.08

Record 5
TePb2W: optimized geometry, GGA-PBE.

Properties
- Uncorrected formation energy: 1201 meV per atom
- E_tot: -4.68 eV per atom
- Crystal system: tetragonal

Cell lengths 8.5686, 8.5686, 8.5686 Å; angles 135.64, 135.64, 64.54 degrees
Closest atoms and distances in Å follow each position.
Fractional positions:
Te: 0.0000 0.0000 0.0000  4 Pb 3.12
Te: 0.7500 0.2500 0.5000  4 Pb 3.12
Pb: 0.1782 0.6250 0.0532  2 W 2.74
Pb: 0.3750 0.4282 0.5532  2 W 2.74
Pb: 0.5718 0.1250 0.9468  2 W 2.74
Pb: 0.8750 0.8218 0.4468  2 W 2.74
W: 0.2500 0.7500 0.5000  4 Pb 2.74
W: 0.5000 0.5000 0.0000  4 Pb 2.74

Record 6
TePb2W: optimized geometry, GGA-PBE.

Properties
- Uncorrected formation energy: 973 meV per atom
- E_tot: -4.90 eV per atom
- Crystal system: orthorhombic

Cell lengths 5.6292, 5.6292, 3.2848 Å; angles 90.00, 90.00, 108.28 degrees
Closest atoms and distances in Å follow each position.
Fractional positions:
Te: 0.0000 0.0000 0.0000  8 Pb 3.26, 2 Te 3.28, 2 W 3.30
Pb: 0.0000 0.5000 0.5000  4 Te 3.26, 4 W 3.26, 4 Pb 3.28-3.30
Pb: 0.5000 0.0000 0.5000  4 Te 3.26, 4 W 3.26, 4 Pb 3.28-3.30
W: 0.5000 0.5000 0.0000  8 Pb 3.26, 2 W 3.28, 2 Te 3.30

Record 7
Te2PbW: optimized geometry, GGA-PBE.

Properties
- Uncorrected formation energy: 1031 meV per atom
- E_tot: -4.71 eV per atom
- Crystal system: orthorhombic

Cell lengths 3.5366, 5.0414, 5.5850 Å; angles 90.00, 90.00, 90.00 degrees
Closest atoms and distances in Å follow each position.
Fractional positions:
Te: 0.0000 0.0000 0.0000  4 W 3.08, 4 Te 3.31
Te: 0.5000 0.0000 0.5000  4 Pb 3.08, 4 Te 3.31
Pb: 0.0000 0.5000 0.5000  4 Te 3.08, 4 W 3.31
W: 0.5000 0.5000 0.0000  4 Te 3.08, 4 Pb 3.31

Record 8
TePbW: optimized geometry, GGA-PBE.

Properties
- Uncorrected formation energy: 461 meV per atom
- E above lowest polymorph: 45 meV per atom
- E_tot: -6.14 eV per atom
- Crystal system: tetragonal

Cell lengths 7.4324, 7.4324, 7.4324 Å; angles 154.49, 154.49, 36.39 degrees
Closest atoms and distances in Å follow each position.
Fractional positions:
Te: 0.0000 0.0000 0.0000  4 W 2.77
Pb: 0.2606 0.2606 0.0000  4 W 3.17, 4 Pb 3.28
W: 0.6073 0.6073 0.0000  4 Te 2.77

Record 9
TePb2W: optimized geometry, GGA-PBE.

Properties
- Uncorrected formation energy: 616 meV per atom
- E_tot: -5.26 eV per atom
- Crystal system: tetragonal

Cell lengths 3.0492, 3.0492, 11.8304 Å; angles 90.00, 90.00, 90.00 degrees
Closest atoms and distances in Å follow each position.
Fractional positions:
Te: 0.0000 0.0000 0.0000  4 Te 3.05
Pb: 0.5000 0.5000 0.3033  4 Pb 3.05, 4 W 3.17
Pb: 0.5000 0.5000 0.6967  4 Pb 3.05, 4 W 3.17
W: 0.0000 0.0000 0.5000  4 W 3.05, 8 Pb 3.17

Record 10
Te2PbW: optimized geometry, GGA-PBE.

Properties
- Uncorrected formation energy: 263 meV per atom
- E_tot: -5.47 eV per atom
- Crystal system: monoclinic

Cell lengths 5.1273, 5.1273, 7.0428 Å; angles 108.89, 108.89, 39.44 degrees
Closest atoms and distances in Å follow each position.
Fractional positions:
Te: 0.0000 0.0000 0.0000  3 W 2.69-2.80
Te: 0.1656 0.1656 0.6409  2 W 2.75
Pb: 0.3579 0.3579 0.3478  2 W 3.16, 4 Te 3.22-3.48, 2 Pb 3.46
W: 0.7008 0.7008 0.9577  5 Te 2.69-2.80

Record 11
TePb2W: optimized geometry, GGA-PBE.

Properties
- Uncorrected formation energy: 948 meV per atom
- E_tot: -4.93 eV per atom
- Crystal system: tetragonal

Cell lengths 5.9221, 5.9221, 5.9221 Å; angles 135.17, 135.17, 65.27 degrees
Closest atoms and distances in Å follow each position.
Fractional positions:
Te: 0.0000 0.0000 0.0000  4 W 3.19, 8 Pb 3.36
Pb: 0.2500 0.7500 0.5000  4 Pb 3.19, 4 Te 3.36, 4 W 3.36
Pb: 0.7500 0.2500 0.5000  4 Pb 3.19, 4 Te 3.36, 4 W 3.36
W: 0.5000 0.5000 0.0000  4 Te 3.19, 8 Pb 3.36

Record 12
TePbW: optimized geometry, GGA-PBE.

Properties
- Uncorrected formation energy: 416 meV per atom
- E above lowest polymorph: 0 meV per atom
- E_tot: -6.19 eV per atom
- Crystal system: trigonal

Cell lengths 3.3460, 3.3460, 8.4181 Å; angles 90.00, 90.00, 120.00 degrees
Closest atoms and distances in Å follow each position.
Fractional positions:
Te: 0.0000 0.0000 0.0000  3 W 2.69
Pb: 0.3333 0.6667 0.5107  3 W 3.10, 6 Pb 3.35
W: 0.6667 0.3333 0.2228  3 Te 2.69